First-principles (PBE) data for K2HgS2 after structural relaxation, as listed in Alexandria via LeMat-Bulk.

E_tot (eV per cell): -29.66
Formation energy (no corrections) (meV per atom): -815
SG: Cmc2_1 (36)

Unit cell a=9.984 b=9.984 c=7.323 alpha=90.00 beta=90.00 gamma=155.52
Fractional coordinates of all 10 atoms:
K1 0.027 0.973 0.500
K2 0.193 0.807 0.266
K3 0.807 0.193 0.766
K4 0.973 0.027 0.000
Hg1 0.371 0.629 0.391
Hg2 0.629 0.371 0.891
S1 0.173 0.827 0.726
S2 0.428 0.572 0.689
S3 0.572 0.428 0.189
S4 0.827 0.173 0.226